Density functional theory data (PBE) for an optimized crystal structure of CsCrFe3.

Structure (extended XYZ):
```
5
Lattice="4.7487 0.0000 0.0000 0.0000 4.7487 0.0000 0.0000 0.0000 4.7487" Properties=species:S:1:pos:R:3 pbc="T T T"
Cs 0.0000 0.0000 0.0000
Cr 2.3744 2.3744 2.3744
Fe 0.0000 0.0000 2.3744
Fe 0.0000 2.3744 0.0000
Fe 2.3744 0.0000 0.0000
```

Summary:
Calculated formation energy, meV/atom: 2683
Distance to the lowest polymorph of the same formula, meV/atom: 1218


Density functional theory data (PBE) for an optimized crystal structure of CsCrFe2.

Structure (extended XYZ):
```
4
Lattice="0.0000 3.3224 3.3224 3.3224 0.0000 3.3224 3.3224 3.3224 0.0000" Properties=species:S:1:pos:R:3 pbc="T T T"
Cs 0.0000 0.0000 0.0000
Cr 3.3224 3.3224 3.3224
Fe 1.6612 1.6612 1.6612
Fe 4.9837 4.9837 4.9837
```

Summary:
Calculated formation energy, meV/atom: 1896


Density functional theory data (PBE) for an optimized crystal structure of CsCrFe3.

Structure (extended XYZ):
```
5
Lattice="4.7456 0.0000 0.0000 0.0000 4.7456 0.0000 0.0000 0.0000 4.7456" Properties=species:S:1:pos:R:3 pbc="T T T"
Cs 0.0000 0.0000 0.0000
Cr 2.3728 2.3728 2.3728
Fe 0.0000 2.3728 2.3728
Fe 2.3728 0.0000 2.3728
Fe 2.3728 2.3728 0.0000
```

Summary:
Calculated formation energy, meV/atom: 1465
Distance to the lowest polymorph of the same formula, meV/atom: 0


Density functional theory data (PBE) for an optimized crystal structure of CsCr2Fe.

Structure (extended XYZ):
```
4
Lattice="0.0000 3.5195 3.5195 3.5195 0.0000 3.5195 3.5195 3.5195 0.0000" Properties=species:S:1:pos:R:3 pbc="T T T"
Cs 0.0000 0.0000 0.0000
Cr 1.7597 1.7597 1.7597
Cr 5.2792 5.2792 5.2792
Fe 3.5195 3.5195 3.5195
```

Summary:
Calculated formation energy, meV/atom: 1892


Density functional theory data (PBE) for an optimized crystal structure of CsCrFe2I8.

Structure (extended XYZ):
```
12
Lattice="5.9102 -4.0194 0.0000 5.9102 4.0194 0.0000 -1.5007 0.0000 10.8297" Properties=species:S:1:pos:R:3 pbc="T T T"
Cs 0.0000 0.0000 0.0000
Cr -0.7503 0.0000 5.4149
Fe 3.4692 0.0000 7.5424
Fe 6.8506 0.0000 3.2874
I 5.1659 2.0436 3.3943
I 1.9996 0.0000 5.3859
I 5.1538 2.0436 7.4355
I 2.4129 0.0000 9.8696
I 7.9069 0.0000 0.9601
I 5.1659 -2.0436 3.3943
I 8.3201 0.0000 5.4438
I 5.1538 -2.0436 7.4355
```

Summary:
Energy relative to the elements, uncorrected, eV/atom: -0.3948


Density functional theory data (PBE) for an optimized crystal structure of CsLiCr2Fe.

Structure (extended XYZ):
```
5
Lattice="5.3693 0.0000 0.0000 0.0000 5.3693 0.0000 0.0000 0.0000 4.6864" Properties=species:S:1:pos:R:3 pbc="T T T"
Cs 0.0000 0.0000 0.0000
Li 2.6846 2.6846 2.3432
Cr 0.0000 2.6846 0.0000
Cr 2.6846 0.0000 0.0000
Fe 0.0000 0.0000 2.3432
```

Summary:
Calculated formation energy, meV/atom: 2446